# LuPt, optimized geometry, DFT PBE
data_LuPt
_cell_length_a 3.7891
_cell_length_b 3.7891
_cell_length_c 10.4863
_cell_angle_alpha 90.00
_cell_angle_beta 90.00
_cell_angle_gamma 120.00
_space_group_name_H-M_alt 'R -3 m'
_space_group_IT_number 166
_space_group_name_Hall '-R 3 2"'
loop_
_atom_site_label
_atom_site_fract_x
_atom_site_fract_y
_atom_site_fract_z
_atom_site_occupancy
Lu1 0.0000 0.0000 0.0000 1
Pt1 0.0000 0.0000 0.5000 1
# Electronic total energy   -6.41 eV/atom
# Crystal system   trigonal
# Calculated formation energy   -1121.7 meV/atom



# LuPt, optimized geometry, DFT PBE
data_LuPt
_cell_length_a 6.1995
_cell_length_b 6.1995
_cell_length_c 6.1995
_cell_angle_alpha 90.00
_cell_angle_beta 90.00
_cell_angle_gamma 90.00
_space_group_name_H-M_alt 'F -4 3 m'
_space_group_IT_number 216
_space_group_name_Hall 'F -4 2 3'
loop_
_atom_site_label
_atom_site_fract_x
_atom_site_fract_y
_atom_site_fract_z
_atom_site_occupancy
Lu1 0.0000 0.0000 0.0000 1
Pt1 0.2500 0.2500 0.7500 1
# Electronic total energy   -5.82 eV/atom
# Crystal system   cubic
# Calculated formation energy   -531.7 meV/atom



# Lu5Pt4, optimized geometry, DFT PBE
data_Lu5Pt4
_cell_length_a 7.3372
_cell_length_b 14.3743
_cell_length_c 7.3874
_cell_angle_alpha 90.00
_cell_angle_beta 90.00
_cell_angle_gamma 90.00
_space_group_name_H-M_alt 'P n m a'
_space_group_IT_number 62
loop_
_space_group_symop_operation_xyz
'x,y,z'
'-x,-y,-z'
'-x+1/2,-y,z+1/2'
'x+1/2,y,-z+1/2'
'x+1/2,-y+1/2,-z+1/2'
'-x+1/2,y+1/2,z+1/2'
'-x,y+1/2,-z'
'x,-y+1/2,z'
loop_
_atom_site_label
_atom_site_fract_x
_atom_site_fract_y
_atom_site_fract_z
_atom_site_occupancy
Lu1 0.0136 0.0926 0.1777 1
Lu2 0.1403 0.6231 0.3334 1
Lu3 0.1979 0.2500 0.4911 1
Pt1 0.0634 0.2500 0.8889 1
Pt2 0.1593 0.7500 0.6457 1
Pt3 0.1943 0.0406 0.5321 1
# Electronic total energy   -6.45 eV/atom
# Crystal system   orthorhombic
# Calculated formation energy   -1240.8 meV/atom



# LuPt, optimized geometry, DFT PBE
data_LuPt
_cell_length_a 3.8479
_cell_length_b 3.8479
_cell_length_c 3.5001
_cell_angle_alpha 90.00
_cell_angle_beta 90.00
_cell_angle_gamma 120.00
_space_group_name_H-M_alt 'P -6 m 2'
_space_group_IT_number 187
_space_group_name_Hall 'P -6 2'
loop_
_atom_site_label
_atom_site_fract_x
_atom_site_fract_y
_atom_site_fract_z
_atom_site_occupancy
Lu1 0.0000 0.0000 0.0000 1
Pt1 0.6667 0.3333 0.5000 1
# Electronic total energy   -6.37 eV/atom
# Crystal system   hexagonal
# Calculated formation energy   -1084.1 meV/atom



# RbLuPt, optimized geometry, DFT PBE
data_RbLuPt
_cell_length_a 7.1316
_cell_length_b 7.1316
_cell_length_c 7.1316
_cell_angle_alpha 90.00
_cell_angle_beta 90.00
_cell_angle_gamma 90.00
_space_group_name_H-M_alt 'F -4 3 m'
_space_group_IT_number 216
_space_group_name_Hall 'F -4 2 3'
loop_
_atom_site_label
_atom_site_fract_x
_atom_site_fract_y
_atom_site_fract_z
_atom_site_occupancy
Rb1 0.0000 0.0000 0.0000 1
Lu1 0.0000 0.0000 0.5000 1
Pt1 0.2500 0.2500 0.7500 1
# Electronic total energy   -3.85 eV/atom
# Crystal system   cubic
# Excess energy over the best structure of this formula in the dataset   0.000 eV per atom



# RbLuPt, optimized geometry, DFT PBE
data_RbLuPt
_cell_length_a 7.0313
_cell_length_b 7.0313
_cell_length_c 7.0313
_cell_angle_alpha 90.00
_cell_angle_beta 90.00
_cell_angle_gamma 90.00
_space_group_name_H-M_alt 'F -4 3 m'
_space_group_IT_number 216
_space_group_name_Hall 'F -4 2 3'
loop_
_atom_site_label
_atom_site_fract_x
_atom_site_fract_y
_atom_site_fract_z
_atom_site_occupancy
Rb1 0.0000 0.0000 0.0000 1
Lu1 0.2500 0.2500 0.7500 1
Pt1 0.2500 0.2500 0.2500 1
# Electronic total energy   -2.93 eV/atom
# Crystal system   cubic
# Excess energy over the best structure of this formula in the dataset   0.929 eV per atom



# RbLuPtS3, optimized geometry, DFT PBE
data_RbLuPtS3
_cell_length_a 3.8869
_cell_length_b 15.6068
_cell_length_c 9.9192
_cell_angle_alpha 90.00
_cell_angle_beta 90.00
_cell_angle_gamma 90.00
_space_group_name_H-M_alt 'C m c m'
_space_group_IT_number 63
_space_group_name_Hall '-C 2c 2'
loop_
_atom_site_label
_atom_site_fract_x
_atom_site_fract_y
_atom_site_fract_z
_atom_site_occupancy
Rb1 0.0000 0.2455 0.2500 1
Lu1 0.0000 0.0000 0.0000 1
Pt1 0.0000 0.4900 0.7500 1
S1 0.0000 0.0799 0.7500 1
S2 0.0000 0.3883 0.5695 1
# Electronic total energy   -5.15 eV/atom
# Crystal system   orthorhombic



# RbLuTe3Pt, optimized geometry, DFT PBE
data_RbLuTe3Pt
_cell_length_a 4.2228
_cell_length_b 18.0963
_cell_length_c 10.4069
_cell_angle_alpha 90.00
_cell_angle_beta 90.00
_cell_angle_gamma 90.00
_space_group_name_H-M_alt 'C m c m'
_space_group_IT_number 63
_space_group_name_Hall '-C 2c 2'
loop_
_atom_site_label
_atom_site_fract_x
_atom_site_fract_y
_atom_site_fract_z
_atom_site_occupancy
Rb1 0.0000 0.2472 0.2500 1
Lu1 0.0000 0.0000 0.0000 1
Te1 0.0000 0.0854 0.7500 1
Te2 0.0000 0.3859 0.5732 1
Pt1 0.0000 0.4918 0.7500 1
# Electronic total energy   -4.40 eV/atom
# Crystal system   orthorhombic



# LuRePt, optimized geometry, DFT PBE
data_LuRePt
_cell_length_a 6.3528
_cell_length_b 6.3528
_cell_length_c 6.3528
_cell_angle_alpha 90.00
_cell_angle_beta 90.00
_cell_angle_gamma 90.00
_space_group_name_H-M_alt 'F -4 3 m'
_space_group_IT_number 216
_space_group_name_Hall 'F -4 2 3'
loop_
_atom_site_label
_atom_site_fract_x
_atom_site_fract_y
_atom_site_fract_z
_atom_site_occupancy
Lu1 0.0000 0.0000 0.0000 1
Re1 0.2500 0.2500 0.2500 1
Pt1 0.2500 0.2500 0.7500 1
# Electronic total energy   -6.83 eV/atom
# Crystal system   cubic
# Excess energy over the best structure of this formula in the dataset   0.468 eV per atom
# Calculated formation energy   834.4 meV/atom



# LuRePt2, optimized geometry, DFT PBE
data_LuRePt2
_cell_length_a 6.4965
_cell_length_b 6.4965
_cell_length_c 6.4965
_cell_angle_alpha 90.00
_cell_angle_beta 90.00
_cell_angle_gamma 90.00
_space_group_name_H-M_alt 'F -4 3 m'
_space_group_IT_number 216
_space_group_name_Hall 'F -4 2 3'
loop_
_atom_site_label
_atom_site_fract_x
_atom_site_fract_y
_atom_site_fract_z
_atom_site_occupancy
Lu1 0.0000 0.0000 0.0000 1
Re1 0.2500 0.2500 0.7500 1
Pt1 0.0000 0.0000 0.5000 1
Pt2 0.2500 0.2500 0.2500 1
# Electronic total energy   -7.36 eV/atom
# Crystal system   cubic
# Calculated formation energy   -92.7 meV/atom



# LuRePt, optimized geometry, DFT PBE
data_LuRePt
_cell_length_a 6.2659
_cell_length_b 6.2659
_cell_length_c 6.2659
_cell_angle_alpha 90.00
_cell_angle_beta 90.00
_cell_angle_gamma 90.00
_space_group_name_H-M_alt 'F -4 3 m'
_space_group_IT_number 216
_space_group_name_Hall 'F -4 2 3'
loop_
_atom_site_label
_atom_site_fract_x
_atom_site_fract_y
_atom_site_fract_z
_atom_site_occupancy
Lu1 0.0000 0.0000 0.0000 1
Re1 0.2500 0.2500 0.2500 1
Pt1 0.0000 0.0000 0.5000 1
# Electronic total energy   -7.30 eV/atom
# Crystal system   cubic
# Excess energy over the best structure of this formula in the dataset   0.000 eV per atom
# Calculated formation energy   366.8 meV/atom



# Lu7Pt2S2, optimized geometry, DFT PBE
data_Lu7Pt2S2
_cell_length_a 3.7973
_cell_length_b 14.5832
_cell_length_c 9.0697
_cell_angle_alpha 90.00
_cell_angle_beta 90.00
_cell_angle_gamma 90.00
_space_group_name_H-M_alt 'I m m 2'
_space_group_IT_number 44
loop_
_space_group_symop_operation_xyz
'x,y,z'
'-x,-y,z'
'-x,y,z'
'x,-y,z'
'x+1/2,y+1/2,z+1/2'
'-x+1/2,-y+1/2,z+1/2'
'-x+1/2,y+1/2,z+1/2'
'x+1/2,-y+1/2,z+1/2'
loop_
_atom_site_label
_atom_site_fract_x
_atom_site_fract_y
_atom_site_fract_z
_atom_site_occupancy
Lu1 0.0000 0.0000 0.0000 1
Lu2 0.0000 0.1190 0.4073 1
Lu3 0.0000 0.3201 0.6204 1
Lu4 0.0000 0.3676 0.2488 1
Pt1 0.0000 0.2388 0.9172 1
S1 0.0000 0.0000 0.6512 1
S2 0.0000 0.5000 0.7526 1
# Electronic total energy   -5.93 eV/atom
# Crystal system   orthorhombic